Below is a relaxed ScTaTc2 crystal, with properties calculated at the PBE level.

Results
Calculated density   10.65 Mg/m³
ΔE to the lowest computed polymorph   0 meV per atom
Crystal system   cubic

```
ScTaTc2
1.0
0.0000 3.2039 3.2039
3.2039 0.0000 3.2039
3.2039 3.2039 0.0000
Sc Tc Ta
1 2 1
direct
0.0000 0.0000 0.0000 Sc
0.2500 0.2500 0.2500 Tc
0.7500 0.7500 0.7500 Tc
0.5000 0.5000 0.5000 Ta
```



Below is a relaxed ScTa2Tc crystal, with properties calculated at the PBE level.

Results
Calculated density   11.97 Mg/m³
ΔE to the lowest computed polymorph   161 meV per atom
Crystal system   cubic

```
ScTa2Tc
1.0
-2.8211 -1.8043 3.1925
-4.4837 -0.6186 -0.9591
-1.6798 -4.2759 -0.5485
Sc Tc Ta
1 1 2
direct
0.0000 0.0000 0.0000 Sc
0.5000 0.5000 0.5000 Tc
0.2500 0.2500 0.2500 Ta
0.7500 0.7500 0.7500 Ta
```



Below is a relaxed ScTa3Tc crystal, with properties calculated at the PBE level.

Results
Calculated density   11.37 Mg/m³
ΔE to the lowest computed polymorph   1190 meV per atom
Crystal system   cubic

```
ScTa3Tc
1.0
-2.2942 -3.6686 -1.6875
1.9817 0.6681 -4.1468
3.5183 -2.7685 1.2353
Sc Tc Ta
1 1 3
direct
0.0000 0.0000 0.0000 Sc
0.5000 0.5000 0.5000 Tc
0.0000 0.5000 0.0000 Ta
0.0000 0.0000 0.5000 Ta
0.5000 0.0000 0.0000 Ta
```



Below is a relaxed ScTaTc2 crystal, with properties calculated at the PBE level.

Results
Calculated density   10.51 Mg/m³
ΔE to the lowest computed polymorph   3 meV per atom
Crystal system   tetragonal

```
ScTaTc2
1.0
-2.4945 -0.8866 1.8106
-0.3523 -2.6445 -1.7804
4.0101 -3.1991 3.9583
Sc Tc Ta
1 2 1
direct
0.5000 0.5000 0.2500 Sc
0.0000 0.0000 0.9859 Tc
0.0000 0.0000 0.5141 Tc
0.5000 0.5000 0.7500 Ta
```



Which value of ΔE to the lowest computed polymorph does entry 1 give?
0 meV per atom



Look up the ΔE to the lowest computed polymorph of the third one.
1190 meV per atom



Among the records above, which one has the lowest calculated density?
number 4



Which value of calculated density does entry 2 give?
11.97 Mg/m³